Entry from Alexandria: a relaxed Pm12Pr6Nd crystal (PBE).

Structure (POSCAR):
```
Pm12Pr6Nd
1.0
-6.184 2.148 -5.836
0.415 -8.016 -3.534
-6.262 -2.832 5.449
Pr Pm Nd
6 12 1
direct
0.695 0.262 0.094
0.262 0.094 0.695
0.738 0.906 0.305
0.906 0.305 0.738
0.094 0.695 0.262
0.305 0.738 0.906
0.804 0.641 0.983
0.359 0.017 0.196
0.436 0.778 0.536
0.464 0.564 0.222
0.222 0.464 0.564
0.017 0.196 0.359
0.778 0.536 0.436
0.196 0.359 0.017
0.536 0.436 0.778
0.983 0.804 0.641
0.641 0.983 0.804
0.564 0.222 0.464
0.000 0.000 0.000
```

The space group is R-3 (148). For the polymorph energy (0 for the lowest one), the calculation gives 0.00 kJ per mole of atoms. The crystal system is trigonal. The size of the total moment is 0.00 μB/f.u. The energy of formation from the pure elements is 239 kJ/mol of formula units.

Entry from Alexandria: a relaxed AgSe crystal (PBE).

Structure (POSCAR):
```
AgSe
1.0
-0.343 1.051 -4.118
-1.737 -3.623 1.427
-4.862 2.769 1.112
Ag Se
2 2
direct
0.333 0.667 0.250
0.667 0.333 0.750
0.000 0.000 0.000
0.000 0.000 0.500
```

The space group is P6_3/mmc (194). The crystal system is hexagonal. The size of the total moment is 0.00 μB/f.u. Its energy relative to the elements, uncorrected is 0.077 eV/atom.

Entry from Alexandria: a relaxed Pm4CoNiI2 crystal (PBE).

Structure (POSCAR):
```
Pm4CoNiI2
1.0
4.077 0.000 0.000
0.000 7.063 0.117
0.000 -2.487 8.002
Ni Pm I Co
1 4 2 1
direct
0.000 0.000 0.000
0.000 0.278 0.818
0.500 0.233 0.181
0.000 0.722 0.182
0.500 0.767 0.819
0.500 0.000 0.500
0.000 0.500 0.500
0.500 0.500 0.000
```

The space group is P2/m (10). The crystal system is monoclinic. The size of the total moment is 0.00 μB/f.u. Its energy relative to the elements, uncorrected is -0.634 eV/atom.

Entry from Alexandria: a relaxed BaGeSb2Te crystal (PBE).

Structure (POSCAR):
```
BaGeSb2Te
1.0
6.223 0.000 0.000
0.000 6.223 0.000
0.000 0.000 6.310
Sb Ge Te Ba
2 1 1 1
direct
0.000 0.500 0.000
0.500 0.000 0.000
0.500 0.500 0.500
0.000 0.000 0.500
0.000 0.000 0.000
```

The space group is P4/mmm (123). For the polymorph energy (0 for the lowest one), the calculation gives 116.86 kJ per mole of atoms. The crystal system is tetragonal. The size of the total moment is 0.19 μB/f.u. Its energy relative to the elements, uncorrected is 1.019 eV/atom.